Entry from Alexandria: a relaxed Tm3Tl2Cd4 crystal (PBE-GGA).

a b c (Å): 11.0294 4.9554 9.3290
angles (deg): 90.00 119.51 90.00
Closest atoms and distances in Å follow each position.
Space group C2/m (No. 12)
Unique sites:
Tm  0.0000  0.0000  0.0000 (multiplicity 2)  4 Tl 3.31, 8 Cd 3.33-3.48, 2 Tm 3.44
Tm  0.1664  0.5000  0.6700 (multiplicity 4)  8 Cd 3.24-3.40, 4 Tl 3.32-3.45, 2 Tm 3.44-3.47
Tl  0.1070  0.5000  0.2707 (multiplicity 4)  3 Cd 2.91-2.92
Cd  0.0687  0.0000  0.4066 (multiplicity 4)  1 Cd 2.82, 2 Tl 2.91
Cd  0.2169  0.5000  0.0429 (multiplicity 4)  2 Cd 2.81, 1 Tl 2.92

Summary:
The final energy is -2.673 eV per atom.